--- one ---
VASP calculation (PBE) on a geometry-optimized NaTaPCl2 structure.

Cell lengths 4.5844, 4.5844, 5.4072 Å; angles 90.00, 90.00, 90.00 degrees
Fractional positions:
Ta  0.5000  0.5000  0.5000
P  0.0000  0.0000  0.5000
Na  0.0000  0.0000  0.0000
Cl  0.5000  0.0000  0.0000
Cl  0.0000  0.5000  0.0000

Summary:
* crystal system: tetragonal

---

--- two ---
VASP calculation (PBE) on a geometry-optimized NaTaPCl2 structure.

Cell lengths 4.9433, 4.9433, 4.8708 Å; angles 90.00, 90.00, 90.00 degrees
Fractional positions:
P  0.0000  0.0000  0.5000
Cl  0.0000  0.5000  0.0000
Cl  0.5000  0.0000  0.0000
Ta  0.0000  0.0000  0.0000
Na  0.5000  0.5000  0.5000

Summary:
* crystal system: tetragonal

---

Which one is most stable, and which one is least stable? two is the most stable of them, while one is the least stable.

---

--- one ---
VASP calculation (PBE) on a geometry-optimized NaTaP2Cl structure.

Cell lengths 4.8178, 4.8178, 5.1118 Å; angles 90.00, 90.00, 90.00 degrees
Fractional positions:
Cl  0.0000  0.0000  0.5000
P  0.5000  0.0000  0.0000
P  0.0000  0.5000  0.0000
Ta  0.0000  0.0000  0.0000
Na  0.5000  0.5000  0.5000

Summary:
* crystal system: tetragonal

---

--- two ---
VASP calculation (PBE) on a geometry-optimized NaTaP2Cl structure.

Cell lengths 4.7939, 4.7939, 4.4880 Å; angles 90.00, 90.00, 90.00 degrees
Fractional positions:
Cl  0.0000  0.0000  0.5000
P  0.5000  0.0000  0.0000
P  0.0000  0.5000  0.0000
Na  0.0000  0.0000  0.0000
Ta  0.5000  0.5000  0.5000

Summary:
* crystal system: tetragonal

---

Which one is most stable, and which one is least stable? one is the most stable of them, while two is the least stable.

---

--- one ---
VASP calculation (PBE) on a geometry-optimized NaTcP2Cl structure.

Cell lengths 4.5221, 4.5221, 5.5208 Å; angles 90.00, 90.00, 90.00 degrees
Fractional positions:
Na  0.5000  0.5000  0.5000
P  0.5000  0.0000  0.0000
P  0.0000  0.5000  0.0000
Cl  0.0000  0.0000  0.5000
Tc  0.0000  0.0000  0.0000

Summary:
* crystal system: tetragonal

---

--- two ---
VASP calculation (PBE) on a geometry-optimized NaTcP2Cl structure.

Cell lengths 4.7506, 4.7506, 4.6299 Å; angles 90.00, 90.00, 90.00 degrees
Fractional positions:
P  0.0000  0.5000  0.0000
P  0.5000  0.0000  0.0000
Cl  0.0000  0.0000  0.5000
Na  0.0000  0.0000  0.0000
Tc  0.5000  0.5000  0.5000

Summary:
* crystal system: tetragonal

---

Which one is most stable, and which one is least stable? one is the most stable of them, while two is the least stable.

---

--- one ---
VASP calculation (PBE) on a geometry-optimized NaTiPCl2 structure.

Cell lengths 4.9457, 4.9457, 4.7643 Å; angles 90.00, 90.00, 90.00 degrees
Fractional positions:
Ti  0.0000  0.0000  0.0000
Cl  0.0000  0.5000  0.0000
Cl  0.5000  0.0000  0.0000
Na  0.5000  0.5000  0.5000
P  0.0000  0.0000  0.5000

Summary:
* crystal system: tetragonal

---

--- two ---
VASP calculation (PBE) on a geometry-optimized NaTiPCl2 structure.

Cell lengths 4.7144, 4.7144, 5.4351 Å; angles 90.00, 90.00, 90.00 degrees
Fractional positions:
Cl  0.5000  0.0000  0.0000
Cl  0.0000  0.5000  0.0000
Ti  0.5000  0.5000  0.5000
P  0.0000  0.0000  0.5000
Na  0.0000  0.0000  0.0000

Summary:
* crystal system: tetragonal

---

Which one is most stable, and which one is least stable? one is the most stable of them, while two is the least stable.

---

--- one ---
VASP calculation (PBE) on a geometry-optimized NaTiP2Cl structure.

Cell lengths 4.8264, 4.8264, 4.6851 Å; angles 90.00, 90.00, 90.00 degrees
Fractional positions:
Na  0.0000  0.0000  0.0000
P  0.0000  0.5000  0.0000
P  0.5000  0.0000  0.0000
Cl  0.0000  0.0000  0.5000
Ti  0.5000  0.5000  0.5000

Summary:
* crystal system: tetragonal

---

--- two ---
VASP calculation (PBE) on a geometry-optimized NaTiP2Cl structure.

Cell lengths 4.6665, 4.6665, 5.3199 Å; angles 90.00, 90.00, 90.00 degrees
Fractional positions:
Cl  0.0000  0.0000  0.5000
Ti  0.0000  0.0000  0.0000
P  0.5000  0.0000  0.0000
P  0.0000  0.5000  0.0000
Na  0.5000  0.5000  0.5000

Summary:
* crystal system: tetragonal

---

Which one is most stable, and which one is least stable? two is the most stable of them, while one is the least stable.

---

--- one ---
VASP calculation (PBE) on a geometry-optimized NaTlPCl2 structure.

Cell lengths 5.3302, 5.3302, 5.4603 Å; angles 90.00, 90.00, 90.00 degrees
Fractional positions:
Cl  0.0000  0.5000  0.0000
Cl  0.5000  0.0000  0.0000
P  0.0000  0.0000  0.5000
Na  0.0000  0.0000  0.0000
Tl  0.5000  0.5000  0.5000

Summary:
* crystal system: tetragonal

---

--- two ---
VASP calculation (PBE) on a geometry-optimized NaTlPCl2 structure.

Cell lengths 5.6929, 5.6929, 5.2094 Å; angles 90.00, 90.00, 90.00 degrees
Fractional positions:
Na  0.5000  0.5000  0.5000
Cl  0.0000  0.5000  0.0000
Cl  0.5000  0.0000  0.0000
P  0.0000  0.0000  0.5000
Tl  0.0000  0.0000  0.0000

Summary:
* crystal system: tetragonal

---

Which one is most stable, and which one is least stable? two is the most stable of them, while one is the least stable.

---

--- one ---
VASP calculation (PBE) on a geometry-optimized NaPWCl2 structure.

Cell lengths 5.0096, 5.0096, 4.6958 Å; angles 90.00, 90.00, 90.00 degrees
Fractional positions:
P  0.0000  0.0000  0.5000
W  0.0000  0.0000  0.0000
Na  0.5000  0.5000  0.5000
Cl  0.5000  0.0000  0.0000
Cl  0.0000  0.5000  0.0000

Summary:
* crystal system: tetragonal

---

--- two ---
VASP calculation (PBE) on a geometry-optimized NaPWCl2 structure.

Cell lengths 4.6811, 4.6811, 5.4367 Å; angles 90.00, 90.00, 90.00 degrees
Fractional positions:
Cl  0.0000  0.5000  0.0000
Cl  0.5000  0.0000  0.0000
P  0.0000  0.0000  0.5000
Na  0.0000  0.0000  0.0000
W  0.5000  0.5000  0.5000

Summary:
* crystal system: tetragonal

---

Which one is most stable, and which one is least stable? one is the most stable of them, while two is the least stable.

---

--- one ---
VASP calculation (PBE) on a geometry-optimized NaYP2Cl structure.

Cell lengths 5.3502, 5.3502, 5.3922 Å; angles 90.00, 90.00, 90.00 degrees
Fractional positions:
Y  0.0000  0.0000  0.0000
Na  0.5000  0.5000  0.5000
P  0.0000  0.5000  0.0000
P  0.5000  0.0000  0.0000
Cl  0.0000  0.0000  0.5000

Summary:
* crystal system: tetragonal

---

--- two ---
VASP calculation (PBE) on a geometry-optimized NaYP2Cl structure.

Cell lengths 4.8226, 4.8226, 4.8782 Å; angles 90.00, 90.00, 90.00 degrees
Fractional positions:
Y  0.5000  0.5000  0.5000
Cl  0.0000  0.0000  0.5000
P  0.5000  0.0000  0.0000
P  0.0000  0.5000  0.0000
Na  0.0000  0.0000  0.0000

Summary:
* crystal system: tetragonal

---

Which one is most stable, and which one is least stable? one is the most stable of them, while two is the least stable.

---

--- one ---
VASP calculation (PBE) on a geometry-optimized NaYPCl2 structure.

Cell lengths 4.7052, 4.7052, 5.4979 Å; angles 90.00, 90.00, 90.00 degrees
Fractional positions:
Cl  0.5000  0.0000  0.0000
Cl  0.0000  0.5000  0.0000
Y  0.5000  0.5000  0.5000
P  0.0000  0.0000  0.5000
Na  0.0000  0.0000  0.0000

Summary:
* crystal system: tetragonal

---

--- two ---
VASP calculation (PBE) on a geometry-optimized NaYPCl2 structure.

Cell lengths 5.3109, 5.3109, 5.4810 Å; angles 90.00, 90.00, 90.00 degrees
Fractional positions:
Cl  0.5000  0.0000  0.0000
Cl  0.0000  0.5000  0.0000
Na  0.5000  0.5000  0.5000
Y  0.0000  0.0000  0.0000
P  0.0000  0.0000  0.5000

Summary:
* crystal system: tetragonal

---

Which one is most stable, and which one is least stable? two is the most stable of them, while one is the least stable.

---

--- one ---
VASP calculation (PBE) on a geometry-optimized NaZnP2Cl structure.

Cell lengths 5.1282, 5.1282, 4.9270 Å; angles 90.00, 90.00, 90.00 degrees
Fractional positions:
Cl  0.0000  0.0000  0.5000
P  0.0000  0.5000  0.0000
P  0.5000  0.0000  0.0000
Na  0.0000  0.0000  0.0000
Zn  0.5000  0.5000  0.5000

Summary:
* crystal system: tetragonal

---

--- two ---
VASP calculation (PBE) on a geometry-optimized NaZnP2Cl structure.

Cell lengths 4.5653, 4.5653, 6.0067 Å; angles 90.00, 90.00, 90.00 degrees
Fractional positions:
P  0.0000  0.5000  0.0000
P  0.5000  0.0000  0.0000
Na  0.5000  0.5000  0.5000
Cl  0.0000  0.0000  0.5000
Zn  0.0000  0.0000  0.0000

Summary:
* crystal system: tetragonal

---

Which one is most stable, and which one is least stable? two is the most stable of them, while one is the least stable.

---

--- one ---
VASP calculation (PBE) on a geometry-optimized NaPbCl2 structure.

Cell lengths 7.6855, 7.6855, 6.7265 Å; angles 55.16, 55.16, 90.00 degrees
Fractional positions:
Cl  0.1526  0.6250  0.2500
Cl  0.5974  0.1250  0.2500
Cl  0.8750  0.8474  0.7500
Cl  0.3750  0.4026  0.7500
Na  0.2500  0.7500  0.5000
Na  0.5000  0.5000  0.0000
Pb  0.7500  0.2500  0.5000
Pb  0.0000  0.0000  0.0000

Summary:
* crystal system: tetragonal

---

--- two ---
VASP calculation (PBE) on a geometry-optimized NaPbCl2 structure.

Cell lengths 9.9007, 9.9007, 9.9007 Å; angles 22.33, 22.33, 22.33 degrees
Fractional positions:
Cl  0.9148  0.9148  0.9148
Cl  0.0852  0.0852  0.0852
Pb  0.5000  0.5000  0.5000
Na  0.0000  0.0000  0.0000

Summary:
* crystal system: trigonal

---

--- three ---
VASP calculation (PBE) on a geometry-optimized NaPbCl2 structure.

Cell lengths 5.2477, 5.2477, 5.2477 Å; angles 60.00, 60.00, 60.00 degrees
Fractional positions:
Pb  0.5000  0.5000  0.5000
Na  0.0000  0.0000  0.0000
Cl  0.7500  0.7500  0.7500
Cl  0.2500  0.2500  0.2500

Summary:
* crystal system: cubic

---

Which one is most stable, and which one is least stable? one is the most stable of them, while two is the least stable.

---

--- one ---
VASP calculation (PBE) on a geometry-optimized NaPbCl4 structure.

Cell lengths 7.8957, 6.5362, 7.6984 Å; angles 90.00, 114.70, 90.00 degrees
Fractional positions:
Pb  0.0000  0.5000  0.5000
Pb  0.5000  0.0000  0.5000
Na  0.5000  0.5000  0.0000
Na  0.0000  0.0000  0.0000
Cl  0.3143  0.7426  0.6492
Cl  0.1510  0.3037  0.8347
Cl  0.8490  0.6963  0.1653
Cl  0.3490  0.8037  0.1653
Cl  0.1857  0.2426  0.3508
Cl  0.6510  0.1963  0.8347
Cl  0.6857  0.2574  0.3508
Cl  0.8143  0.7574  0.6492

Summary:
* crystal system: monoclinic

---

--- two ---
VASP calculation (PBE) on a geometry-optimized NaPbCl4 structure.

Cell lengths 4.2230, 8.7608, 10.7782 Å; angles 81.17, 78.70, 76.05 degrees
Fractional positions:
Cl  0.1817  0.7066  0.4320
Cl  0.6797  0.2066  0.9320
Cl  0.8183  0.2934  0.5680
Cl  0.5524  0.0676  0.3280
Cl  0.9479  0.4324  0.1720
Cl  0.3203  0.7934  0.0680
Cl  0.4476  0.9324  0.6720
Cl  0.0521  0.5676  0.8280
Na  0.7510  0.7500  0.2500
Na  0.2490  0.2500  0.7500
Pb  0.5000  0.5000  0.0000
Pb  0.0000  0.0000  0.5000

Summary:
* crystal system: monoclinic

---

Which one is most stable, and which one is least stable? one is the most stable of them, while two is the least stable.